[1]
Entry from Alexandria: a relaxed structure of LaPaAl2 (PBE).

The formation energy is 0.00 eV per atom. The polymorph energy (0 for the lowest one) is 198 meV per atom. The symmetry is R-3m (166).

Cell: 10.936 10.936 10.936 Å, 16.78 16.78 16.78°
Fractional positions:
La  0.000  0.000  0.000
Pa  0.500  0.500  0.500
Al  0.247  0.247  0.247
Al  0.753  0.753  0.753

***

[2]
Entry from Alexandria: a relaxed structure of La2PaAl (PBE).

The formation energy is 0.06 eV per atom. The polymorph energy (0 for the lowest one) is 48 meV per atom. The symmetry is P4/mmm (123).

Cell: 4.831 4.831 4.772 Å, 90.00 90.00 90.00°
Fractional positions:
La  0.000  0.500  0.000
La  0.500  0.000  0.000
Pa  0.000  0.000  0.500
Al  0.500  0.500  0.500

***

[3]
Entry from Alexandria: a relaxed structure of LaPaAl2 (PBE).

The formation energy is -0.20 eV per atom. The polymorph energy (0 for the lowest one) is 0 meV per atom. The symmetry is P4/mmm (123).

Cell: 3.282 3.282 8.906 Å, 90.00 90.00 90.00°
Fractional positions:
La  0.000  0.000  0.000
Pa  0.000  0.000  0.500
Al  0.500  0.500  0.264
Al  0.500  0.500  0.736

***

[4]
Entry from Alexandria: a relaxed structure of La3PaAl8 (PBE).

The formation energy is -0.41 eV per atom. The symmetry is P3m1 (156).

Cell: 5.675 5.675 9.355 Å, 90.00 90.00 120.00°
Fractional positions:
La  0.000  0.000  0.000
La  0.000  0.000  0.363
La  0.333  0.667  0.855
Pa  0.333  0.667  0.505
Al  0.009  0.504  0.187
Al  0.327  0.163  0.674
Al  0.496  0.504  0.187
Al  0.496  0.991  0.187
Al  0.667  0.333  0.433
Al  0.667  0.333  0.934
Al  0.837  0.163  0.674
Al  0.837  0.673  0.674

***

[5]
Entry from Alexandria: a relaxed structure of La2PaAl (PBE).

The formation energy is 0.21 eV per atom. The polymorph energy (0 for the lowest one) is 206 meV per atom. The symmetry is Fm-3m (225).

Cell: 5.430 5.430 5.430 Å, 60.00 60.00 60.00°
Fractional positions:
La  0.250  0.250  0.250
La  0.750  0.750  0.750
Pa  0.000  0.000  0.000
Al  0.500  0.500  0.500

***

[6]
Entry from Alexandria: a relaxed structure of LaPmPaAl (PBE).

The formation energy is 0.20 eV per atom. The symmetry is F-43m (216).

Cell: 5.383 5.383 5.383 Å, 60.00 60.00 60.00°
Fractional positions:
La  0.000  0.000  0.000
Pm  0.500  0.500  0.500
Pa  0.750  0.750  0.750
Al  0.250  0.250  0.250

***

[7]
Entry from Alexandria: a relaxed structure of LaPa2AlS8 (PBE).

The formation energy without anion corrections is -1.4594 eV/atom. The symmetry is P2/m (10).

Cell: 6.093 8.223 6.223 Å, 90.00 93.36 90.00°
Fractional positions:
La  0.000  0.000  0.000
Pa  0.500  0.259  0.500
Pa  0.500  0.741  0.500
Al  0.000  0.500  0.000
S  0.214  0.288  0.170
S  0.214  0.712  0.170
S  0.282  0.500  0.672
S  0.292  0.000  0.653
S  0.708  0.000  0.347
S  0.718  0.500  0.328
S  0.786  0.288  0.830
S  0.786  0.712  0.830

***

[8]
Entry from Alexandria: a relaxed structure of LaPaAlZn (PBE).

The formation energy is -0.02 eV per atom. The symmetry is F-43m (216).

Cell: 5.178 5.178 5.178 Å, 60.00 60.00 60.00°
Fractional positions:
La  0.000  0.000  0.000
Pa  0.500  0.500  0.500
Al  0.250  0.250  0.250
Zn  0.750  0.750  0.750

***

[9]
Entry from Alexandria: a relaxed structure of LaAlPb2 (PBE).

The formation energy is -0.16 eV per atom. The symmetry is P4mm (99).

Cell: 3.987 3.987 7.171 Å, 90.00 90.00 90.00°
Fractional positions:
La  0.000  0.000  0.000
Al  0.500  0.500  0.734
Pb  0.000  0.000  0.534
Pb  0.500  0.500  0.294

***

[10]
Entry from Alexandria: a relaxed structure of LaAlPb2 (PBE).

The formation energy is -0.01 eV per atom. The symmetry is R3m (160).

Cell: 10.393 10.393 10.393 Å, 20.36 20.36 20.36°
Fractional positions:
La  0.000  0.000  0.000
Al  0.252  0.252  0.252
Pb  0.514  0.514  0.514
Pb  0.760  0.760  0.760

***

[11]
Entry from Alexandria: a relaxed structure of La6AlPb (PBE).

The formation energy is -0.29 eV per atom. The symmetry is P4/mmm (123).

Cell: 5.027 5.027 10.056 Å, 90.00 90.00 90.00°
Fractional positions:
La  0.000  0.000  0.000
La  0.000  0.000  0.500
La  0.000  0.500  0.243
La  0.000  0.500  0.757
La  0.500  0.000  0.243
La  0.500  0.000  0.757
Al  0.500  0.500  0.000
Pb  0.500  0.500  0.500

***

[12]
Entry from Alexandria: a relaxed structure of LaAlPb2 (PBE).

The formation energy is -0.18 eV per atom. The symmetry is P2/m (10).

Cell: 3.496 5.224 6.266 Å, 90.00 91.47 90.00°
Fractional positions:
La  0.000  0.000  0.000
Al  0.500  0.000  0.500
Pb  0.424  0.500  0.747
Pb  0.576  0.500  0.253